! BaSmTl (GGA-PBE, relaxed); values from VASP
! - energy (eV per atom) = -3.17
! - DOS(E_F) (states/eV/cell) = 3.457
! - energy above the most stable polymorph in this dataset (eV per atom) = 0.119
! - spin magnetization (μB per formula unit) = 0.00
&SYSTEM
  ibrav = 0, nat = 3, ntyp = 3
/
ATOMIC_SPECIES
Tl 204.38 Tl.upf
Ba 137.33 Ba.upf
Sm 150.36 Sm.upf
CELL_PARAMETERS angstrom
-0.868 3.624 -1.681
1.566 -1.274 -3.555
-6.628 -3.565 0.707
ATOMIC_POSITIONS crystal
Tl 0.690 0.690 0.380
Ba 0.016 0.016 0.033
Sm 0.293 0.293 0.587